[1]
A plane-wave DFT calculation with GGA-PBE was carried out for a geometry-optimized TbPr3Cd2 structure.

Summary:
Offset from the most stable computed form   0.000 eV per atom
Magnetic moment   0.3 μB/f.u.

Geometry as CIF:
```
data_TbPr3Cd2
_symmetry_space_group_name_H-M 'P 4/m m m'
_symmetry_Int_Tables_number 123
_symmetry_space_group_name_Hall '-P 4 2'
_cell_length_a 3.799
_cell_length_b 3.799
_cell_length_c 12.913
_cell_angle_alpha 90.00
_cell_angle_beta 90.00
_cell_angle_gamma 90.00
loop_
_atom_site_label
_atom_site_fract_x
_atom_site_fract_y
_atom_site_fract_z
_atom_site_occupancy
Tb1 0.000 0.000 0.000 1
Pr1 0.500 0.500 0.190 1
Pr2 0.500 0.500 0.500 1
Cd1 0.000 0.000 0.343 1
```

[2]
A plane-wave DFT calculation with GGA-PBE was carried out for a geometry-optimized TmZn4Co structure.

Summary:
Offset from the most stable computed form   0.000 eV per atom
Magnetic moment   0.0 μB/f.u.

Geometry as CIF:
```
data_TmZn4Co
_symmetry_space_group_name_H-M 'P m m a'
_symmetry_Int_Tables_number 51
_cell_length_a 7.544
_cell_length_b 3.901
_cell_length_c 6.662
_cell_angle_alpha 90.00
_cell_angle_beta 90.00
_cell_angle_gamma 90.00
loop_
_symmetry_equiv_pos_as_xyz
'x,y,z'
'-x,-y,-z'
'-x+1/2,-y,z'
'x+1/2,y,-z'
'x+1/2,-y,-z'
'-x+1/2,y,z'
'-x,y,-z'
'x,-y,z'
loop_
_atom_site_label
_atom_site_fract_x
_atom_site_fract_y
_atom_site_fract_z
_atom_site_occupancy
Tm1 0.250 0.000 0.106 1
Zn1 0.000 0.000 0.500 1
Zn2 0.059 0.500 0.808 1
Zn3 0.250 0.500 0.457 1
Co1 0.250 0.000 0.715 1
```

[3]
A plane-wave DFT calculation with GGA-PBE was carried out for a geometry-optimized Th3Mg2Hg6 structure.

Summary:
Magnetic moment   0.0 μB/f.u.

Geometry as CIF:
```
data_Th3Mg2Hg6
_symmetry_space_group_name_H-M 'I 4/m m m'
_symmetry_Int_Tables_number 139
_symmetry_space_group_name_Hall '-I 4 2'
_cell_length_a 4.360
_cell_length_b 4.360
_cell_length_c 31.311
_cell_angle_alpha 90.00
_cell_angle_beta 90.00
_cell_angle_gamma 90.00
loop_
_atom_site_label
_atom_site_fract_x
_atom_site_fract_y
_atom_site_fract_z
_atom_site_occupancy
Th1 0.000 0.000 0.000 1
Th2 0.000 0.000 0.175 1
Mg1 0.000 0.000 0.367 1
Hg1 0.000 0.000 0.276 1
Hg2 0.000 0.500 0.076 1
```

[4]
A plane-wave DFT calculation with GGA-PBE was carried out for a geometry-optimized K2Rb4Pd structure.

Summary:
Offset from the most stable computed form   0.000 eV per atom
Magnetic moment   0.0 μB/f.u.

Geometry as CIF:
```
data_K2Rb4Pd
_symmetry_space_group_name_H-M 'C 1 2/m 1'
_symmetry_Int_Tables_number 12
_cell_length_a 24.851
_cell_length_b 4.981
_cell_length_c 8.241
_cell_angle_alpha 90.00
_cell_angle_beta 107.63
_cell_angle_gamma 90.00
loop_
_symmetry_equiv_pos_as_xyz
'x,y,z'
'-x,-y,-z'
'-x,y,-z'
'x,-y,z'
'x+1/2,y+1/2,z'
'-x+1/2,-y+1/2,-z'
'-x+1/2,y+1/2,-z'
'x+1/2,-y+1/2,z'
loop_
_atom_site_label
_atom_site_fract_x
_atom_site_fract_y
_atom_site_fract_z
_atom_site_occupancy
K1 0.249 0.000 0.247 1
Rb1 0.079 0.000 0.726 1
Rb2 0.083 0.500 0.255 1
Pd1 0.000 0.500 0.500 1
```

Number 1: density of states at the Fermi level 7.50 states/eV/f.u., energy of formation -0.193 eV per atom. Number 2: density of states at the Fermi level 3.07 states/eV/f.u., energy of formation -0.230 eV per atom. Number 3: density of states at the Fermi level 9.57 states/eV/f.u., energy of formation -0.017 eV per atom. Number 4: density of states at the Fermi level 5.06 states/eV/f.u., energy of formation 0.064 eV per atom.